NaZnIn2Ir (PBE, optimized geometry); crystal system = tetragonal; N(E_F) = 1.888 states/eV/cell; VASP energy = -3.494 eV per atom
1.0
5.1575 0.0000 0.0000
0.0000 5.1575 0.0000
0.0000 0.0000 4.9628
Na Zn Ir In
1 1 1 2
Direct
0.5000 0.5000 0.5000
0.0000 0.0000 0.5000
0.0000 0.0000 0.0000
0.0000 0.5000 0.0000
0.5000 0.0000 0.0000

=====

Pm2PrTl4 (PBE, optimized geometry); crystal system = trigonal; N(E_F) = 5.286 states/eV/cell; VASP energy = -3.554 eV per atom
1.0
-0.0939 -3.2349 3.7119
3.8033 -3.0473 0.7072
5.7844 5.0549 7.8183
Pm Pr Tl
2 1 4
Direct
0.1293 0.1293 0.6121
0.8707 0.8707 0.3879
0.0000 0.0000 0.0000
0.3847 0.3847 0.8460
0.2450 0.2450 0.2651
0.7550 0.7550 0.7349
0.6153 0.6153 0.1540

=====

Ca3CrIn (PBE, optimized geometry); crystal system = cubic; N(E_F) = 9.410 states/eV/cell; VASP energy = -2.970 eV per atom
1.0
-4.9862 -1.9124 -0.7794
1.4298 -4.6666 2.3034
-1.4902 1.9216 4.8181
Cr Ca In
1 3 1
Direct
0.0000 0.0000 0.0000
0.0000 0.5000 0.0000
0.0000 0.0000 0.5000
0.5000 0.0000 0.0000
0.5000 0.5000 0.5000